(1)
# CeGa2AgAu5

CeGa2AgAu5 after structural relaxation (PBE, Alexandria via LeMat-Bulk).

a b c (Å): 4.937 4.937 7.717
angles (deg): 90.00 90.00 90.00
Space group P4/mmm (No. 123)
Unique sites:
Ce  0.000  0.000  0.000 x1
Ga  0.500  0.500  0.342 x2
Ag  0.000  0.000  0.500 x1
Au  0.000  0.500  0.249 x4
Au  0.500  0.500  0.000 x1

The energy relative to the elements comes out at -0.2379 eV per atom.


(2)
# Pm5ErMg3

Pm5ErMg3 after structural relaxation (PBE, Alexandria via LeMat-Bulk).

a b c (Å): 9.5438 9.5438 7.0095
angles (deg): 90.00 90.00 120.00
Space group P6_3/mcm (No. 193)
Unique sites:
Pm  0.0000  0.3312  0.2500 x6
Pm  0.3333  0.6667  0.0000 x4
Er  0.0000  0.0000  0.0000 x2
Mg  0.0000  0.3309  0.7500 x6

The energy relative to the elements comes out at -0.0033 eV per atom.


(3)
# B2IrPbBr

B2IrPbBr after structural relaxation (PBE, Alexandria via LeMat-Bulk).

a b c (Å): 4.195 4.195 5.606
angles (deg): 90.00 90.00 90.00
Space group P4/mmm (No. 123)
Unique sites:
B  0.000  0.500  0.000 x2
Ir  0.000  0.000  0.000 x1
Pb  0.000  0.000  0.500 x1
Br  0.500  0.500  0.500 x1

The formation energy without anion corrections comes out at 325 meV/atom.


(4)
# HfMg2Pd

HfMg2Pd after structural relaxation (PBE, Alexandria via LeMat-Bulk).

a b c (Å): 3.168 3.168 7.563
angles (deg): 90.00 90.00 90.00
Space group P4/mmm (No. 123)
Unique sites:
Hf  0.000  0.000  0.000 x1
Mg  0.500  0.500  0.292 x2
Pd  0.000  0.000  0.500 x1

The energy relative to the elements comes out at -0.2505 eV per atom.


(5)
# CsNb3P3O15

CsNb3P3O15 after structural relaxation (PBE, Alexandria via LeMat-Bulk).

a b c (Å): 13.161 15.680 6.593
angles (deg): 90.00 90.00 90.00
Space group Pnnm (No. 58)
Unique sites:
Cs  0.019  0.167  0.000 x4
Nb  0.073  0.638  0.500 x4
Nb  0.146  0.029  0.500 x4
Nb  0.207  0.270  0.500 x4
P  0.086  0.571  0.000 x4
P  0.223  0.994  0.000 x4
P  0.237  0.809  0.500 x4
O  0.000  0.000  0.500 x2
O  0.000  0.500  0.000 x2
O  0.061  0.338  0.500 x4
O  0.062  0.621  0.194 x8
O  0.143  0.152  0.500 x4
O  0.144  0.744  0.500 x4
O  0.160  0.024  0.186 x8
O  0.166  0.738  0.000 x4
O  0.170  0.538  0.500 x4
O  0.187  0.896  0.500 x4
O  0.189  0.531  0.000 x4
O  0.196  0.287  0.186 x8
O  0.235  0.898  0.000 x4

The formation energy without anion corrections comes out at -2339 meV/atom.


(6)
# Ac2PaSb2N2

Ac2PaSb2N2 after structural relaxation (PBE, Alexandria via LeMat-Bulk).

a b c (Å): 4.527 4.527 17.229
angles (deg): 90.00 90.00 90.00
Space group I4/mmm (No. 139)
Unique sites:
Ac  0.000  0.000  0.115 x4
Pa  0.000  0.000  0.500 x2
Sb  0.000  0.000  0.314 x4
N  0.000  0.500  0.000 x4

The formation energy without anion corrections comes out at -1189 meV/atom.


(7)
# LiFeNi14

LiFeNi14 after structural relaxation (PBE, Alexandria via LeMat-Bulk).

a b c (Å): 8.139 4.992 8.618
angles (deg): 90.00 90.00 90.00
Space group Amm2 (No. 38)
Unique sites:
Li  0.000  0.000  0.000 x2
Fe  0.000  0.000  0.501 x2
Ni  0.000  0.249  0.250 x4
Ni  0.247  0.000  0.333 x4
Ni  0.249  0.249  0.583 x8
Ni  0.250  0.000  0.832 x4
Ni  0.500  0.000  0.166 x2
Ni  0.500  0.000  0.666 x2
Ni  0.500  0.250  0.416 x4

The energy relative to the elements comes out at -0.0025 eV per atom.


(8)
# Ce2RuCl2

Ce2RuCl2 after structural relaxation (PBE, Alexandria via LeMat-Bulk).

a b c (Å): 6.934 4.002 10.943
angles (deg): 90.00 103.41 90.00
Space group C2/m (No. 12)
Unique sites:
Ce  0.222  0.000  0.151 x4
Ru  0.000  0.500  0.000 x2
Cl  0.050  0.000  0.682 x4

The formation energy without anion corrections comes out at -1267 meV/atom.


| no. | final energy (eV/atom) |
| --- | --- |
| 1 | -3.71 |
| 2 | -3.68 |
| 3 | -5.19 |
| 4 | -4.83 |
| 5 | -7.87 |
| 6 | -7.28 |
| 7 | -5.71 |
| 8 | -6.23 |